# Tb2Zn3Hg

A relaxed structure of Tb2Zn3Hg (PBE, Alexandria via LeMat-Bulk).

Results
**Density**: 9.207 g cm⁻³
**Calculated total energy**: -31.5 eV for the cell shown
**Space-group type**: Fmmm, No. 69
**Formation energy from the elements**: -0.39 eV/atom
**Energy above the lowest structure with this stoichiometry**: 0.00 kJ/mol of atoms

Unit cell a=5.7975 b=5.7975 c=8.6882 alpha=104.35 beta=104.35 gamma=104.91
Closest atoms and distances in Å follow each position.
Atoms (fractional coordinates):
Tb 0.7500 0.2500 0.5000  4 Hg 3.19, 8 Zn 3.21-3.22, 2 Tb 3.53
Tb 0.7493 0.7493 0.0000  10 Zn 3.12-3.22, 2 Hg 3.18
Tb 0.2500 0.7500 0.5000  4 Hg 3.19, 8 Zn 3.21-3.22, 2 Tb 3.53
Tb 0.2507 0.2507 0.0000  10 Zn 3.12-3.22, 2 Hg 3.18
Zn 0.8383 0.3236 0.1619  2 Zn 2.57, 1 Hg 2.73
Zn 0.8386 0.8386 0.6772  2 Zn 2.57, 1 Hg 2.73
Zn 0.1614 0.1614 0.3228  2 Zn 2.57, 1 Hg 2.73
Zn 0.6764 0.1617 0.8381  2 Zn 2.57, 1 Hg 2.73
Zn 0.3236 0.8383 0.1619  2 Zn 2.57, 1 Hg 2.73
Zn 0.1617 0.6764 0.8381  2 Zn 2.57, 1 Hg 2.73
Hg 0.3335 0.3335 0.6670  3 Zn 2.73
Hg 0.6665 0.6665 0.3330  3 Zn 2.73